KMgIn2Bi: optimized geometry, PBE-GGA.

The density of states at the Fermi level comes out at 3.14 states/eV per cell. For the energy, the calculation gives -2.35 eV/atom. The value obtained for the excess energy over the best structure of this formula in the dataset is 0.000 eV/atom. Its energy of formation is 0.0637 eV per atom.

The structure belongs to space group P4/mmm (No. 123); the cell edges are 5.628, 5.628 and 5.710 Å and the angles 90.00°, 90.00° and 90.00°. The inequivalent atoms are K at (0.000, 0.000, 0.000), Mg at (0.500, 0.500, 0.500), In at (0.000, 0.500, 0.500) and Bi at (0.500, 0.500, 0.000).